No. 1
# MgNi2Rh

Crystalline MgNi2Rh at its relaxed geometry (PBE, the Alexandria database).

Cell and atoms, written as CIF:
```
data_MgNi2Rh
_symmetry_space_group_name_H-M 'I m m 2'
_symmetry_Int_Tables_number 44
_cell_length_a 2.874
_cell_length_b 4.290
_cell_length_c 8.556
_cell_angle_alpha 90.00
_cell_angle_beta 90.00
_cell_angle_gamma 90.00
loop_
_symmetry_equiv_pos_as_xyz
'x,y,z'
'-x,-y,z'
'-x,y,z'
'x,-y,z'
'x+1/2,y+1/2,z+1/2'
'-x+1/2,-y+1/2,z+1/2'
'-x+1/2,y+1/2,z+1/2'
'x+1/2,-y+1/2,z+1/2'
loop_
_atom_site_label
_atom_site_type_symbol
_atom_site_fract_x
_atom_site_fract_y
_atom_site_fract_z
_atom_site_occupancy
Mg1 Mg 0.000 0.000 0.000 1
Ni1 Ni 0.000 0.000 0.485 1
Ni2 Ni 0.000 0.500 0.759 1
Rh1 Rh 0.000 0.500 0.231 1
```

## Properties
- DOS(E_F) (states/eV per atom) = 1.52
- energy of formation from the pure elements (meV per atom) = -78

=====

No. 2
# Mg2Ni2Rh

Crystalline Mg2Ni2Rh at its relaxed geometry (PBE, the Alexandria database).

Cell and atoms, written as CIF:
```
data_Mg2Ni2Rh
_symmetry_space_group_name_H-M 'P 4/m b m'
_symmetry_Int_Tables_number 127
_symmetry_space_group_name_Hall '-P 4 2ab'
_cell_length_a 7.061
_cell_length_b 7.061
_cell_length_c 2.839
_cell_angle_alpha 90.00
_cell_angle_beta 90.00
_cell_angle_gamma 90.00
loop_
_atom_site_label
_atom_site_type_symbol
_atom_site_fract_x
_atom_site_fract_y
_atom_site_fract_z
_atom_site_occupancy
Mg1 Mg 0.144 0.356 0.000 1
Ni1 Ni 0.156 0.656 0.500 1
Rh1 Rh 0.000 0.000 0.000 1
```

## Properties
- DOS(E_F) (states/eV per atom) = 0.84
- energy of formation from the pure elements (meV per atom) = 70

=====

No. 3
# Mg2NiRh

Crystalline Mg2NiRh at its relaxed geometry (PBE, the Alexandria database).

Cell and atoms, written as CIF:
```
data_Mg2NiRh
_symmetry_space_group_name_H-M 'I -4 2 d'
_symmetry_Int_Tables_number 122
_symmetry_space_group_name_Hall 'I -4 2bw'
_cell_length_a 6.854
_cell_length_b 6.854
_cell_length_c 5.453
_cell_angle_alpha 90.00
_cell_angle_beta 90.00
_cell_angle_gamma 90.00
loop_
_atom_site_label
_atom_site_type_symbol
_atom_site_fract_x
_atom_site_fract_y
_atom_site_fract_z
_atom_site_occupancy
Mg1 Mg 0.237 0.250 0.125 1
Ni1 Ni 0.000 0.000 0.000 1
Rh1 Rh 0.000 0.000 0.500 1
```

## Properties
- DOS(E_F) (states/eV per atom) = 0.72
- energy of formation from the pure elements (meV per atom) = 93

=====

No. 4
# MgNi2Rh

Crystalline MgNi2Rh at its relaxed geometry (PBE, the Alexandria database).

Cell and atoms, written as CIF:
```
data_MgNi2Rh
_symmetry_space_group_name_H-M 'I 4/m m m'
_symmetry_Int_Tables_number 139
_symmetry_space_group_name_Hall '-I 4 2'
_cell_length_a 3.756
_cell_length_b 3.756
_cell_length_c 7.435
_cell_angle_alpha 90.00
_cell_angle_beta 90.00
_cell_angle_gamma 90.00
loop_
_atom_site_label
_atom_site_type_symbol
_atom_site_fract_x
_atom_site_fract_y
_atom_site_fract_z
_atom_site_occupancy
Mg1 Mg 0.000 0.000 0.000 1
Ni1 Ni 0.000 0.500 0.250 1
Rh1 Rh 0.000 0.000 0.500 1
```

## Properties
- DOS(E_F) (states/eV per atom) = 0.79
- energy of formation from the pure elements (meV per atom) = -122

=====

No. 5
# MgNiRh4

Crystalline MgNiRh4 at its relaxed geometry (PBE, the Alexandria database).

Cell and atoms, written as CIF:
```
data_MgNiRh4
_symmetry_space_group_name_H-M 'F -4 3 m'
_symmetry_Int_Tables_number 216
_symmetry_space_group_name_Hall 'F -4 2 3'
_cell_length_a 7.235
_cell_length_b 7.235
_cell_length_c 7.235
_cell_angle_alpha 90.00
_cell_angle_beta 90.00
_cell_angle_gamma 90.00
loop_
_atom_site_label
_atom_site_type_symbol
_atom_site_fract_x
_atom_site_fract_y
_atom_site_fract_z
_atom_site_occupancy
Mg1 Mg 0.000 0.000 0.000 1
Ni1 Ni 0.250 0.250 0.750 1
Rh1 Rh 0.125 0.125 0.375 1
```

## Properties
- DOS(E_F) (states/eV per atom) = 1.96
- energy of formation from the pure elements (meV per atom) = 179

=====

No. 6
# MgNiRh2

Crystalline MgNiRh2 at its relaxed geometry (PBE, the Alexandria database).

Cell and atoms, written as CIF:
```
data_MgNiRh2
_symmetry_space_group_name_H-M 'P 4/m m m'
_symmetry_Int_Tables_number 123
_symmetry_space_group_name_Hall '-P 4 2'
_cell_length_a 3.043
_cell_length_b 3.043
_cell_length_c 6.092
_cell_angle_alpha 90.00
_cell_angle_beta 90.00
_cell_angle_gamma 90.00
loop_
_atom_site_label
_atom_site_type_symbol
_atom_site_fract_x
_atom_site_fract_y
_atom_site_fract_z
_atom_site_occupancy
Mg1 Mg 0.000 0.000 0.000 1
Ni1 Ni 0.000 0.000 0.500 1
Rh1 Rh 0.500 0.500 0.270 1
```

## Properties
- DOS(E_F) (states/eV per atom) = 1.16
- energy of formation from the pure elements (meV per atom) = -151

=====

No. 7
# Mg6NiRh

Crystalline Mg6NiRh at its relaxed geometry (PBE, the Alexandria database).

Cell and atoms, written as CIF:
```
data_Mg6NiRh
_symmetry_space_group_name_H-M 'C 1 2/m 1'
_symmetry_Int_Tables_number 12
_cell_length_a 5.865
_cell_length_b 10.398
_cell_length_c 5.930
_cell_angle_alpha 90.00
_cell_angle_beta 115.68
_cell_angle_gamma 90.00
loop_
_symmetry_equiv_pos_as_xyz
'x,y,z'
'-x,-y,-z'
'-x,y,-z'
'x,-y,z'
'x+1/2,y+1/2,z'
'-x+1/2,-y+1/2,-z'
'-x+1/2,y+1/2,-z'
'x+1/2,-y+1/2,z'
loop_
_atom_site_label
_atom_site_type_symbol
_atom_site_fract_x
_atom_site_fract_y
_atom_site_fract_z
_atom_site_occupancy
Mg1 Mg 0.244 0.193 0.249 1
Mg2 Mg 0.246 0.000 0.753 1
Ni1 Ni 0.000 0.000 0.000 1
Rh1 Rh 0.000 0.500 0.500 1
```

## Properties
- DOS(E_F) (states/eV per atom) = 0.37
- energy of formation from the pure elements (meV per atom) = -20

=====

No. 8
# Mg2NiRh2

Crystalline Mg2NiRh2 at its relaxed geometry (PBE, the Alexandria database).

Cell and atoms, written as CIF:
```
data_Mg2NiRh2
_symmetry_space_group_name_H-M 'P 4/m b m'
_symmetry_Int_Tables_number 127
_symmetry_space_group_name_Hall '-P 4 2ab'
_cell_length_a 6.312
_cell_length_b 6.312
_cell_length_c 4.040
_cell_angle_alpha 90.00
_cell_angle_beta 90.00
_cell_angle_gamma 90.00
loop_
_atom_site_label
_atom_site_type_symbol
_atom_site_fract_x
_atom_site_fract_y
_atom_site_fract_z
_atom_site_occupancy
Mg1 Mg 0.170 0.330 0.000 1
Ni1 Ni 0.000 0.000 0.500 1
Rh1 Rh 0.139 0.639 0.500 1
```

## Properties
- DOS(E_F) (states/eV per atom) = 0.64
- energy of formation from the pure elements (meV per atom) = -192

=====

No. 9
# MgNiRh2

Crystalline MgNiRh2 at its relaxed geometry (PBE, the Alexandria database).

Cell and atoms, written as CIF:
```
data_MgNiRh2
_symmetry_space_group_name_H-M 'C 1 m 1'
_symmetry_Int_Tables_number 8
_cell_length_a 9.033
_cell_length_b 2.780
_cell_length_c 4.536
_cell_angle_alpha 90.00
_cell_angle_beta 101.40
_cell_angle_gamma 90.00
loop_
_symmetry_equiv_pos_as_xyz
'x,y,z'
'x,-y,z'
'x+1/2,y+1/2,z'
'x+1/2,-y+1/2,z'
loop_
_atom_site_label
_atom_site_type_symbol
_atom_site_fract_x
_atom_site_fract_y
_atom_site_fract_z
_atom_site_occupancy
Mg1 Mg 0.000 0.000 0.000 1
Ni1 Ni 0.247 0.000 0.763 1
Rh1 Rh 0.005 0.500 0.506 1
Rh2 Rh 0.258 0.500 0.282 1
```

## Properties
- DOS(E_F) (states/eV per atom) = 1.08
- energy of formation from the pure elements (meV per atom) = -167

=====

No. 10
# MgNiRh2

Crystalline MgNiRh2 at its relaxed geometry (PBE, the Alexandria database).

Cell and atoms, written as CIF:
```
data_MgNiRh2
_symmetry_space_group_name_H-M 'F -4 3 m'
_symmetry_Int_Tables_number 216
_symmetry_space_group_name_Hall 'F -4 2 3'
_cell_length_a 6.110
_cell_length_b 6.110
_cell_length_c 6.110
_cell_angle_alpha 90.00
_cell_angle_beta 90.00
_cell_angle_gamma 90.00
loop_
_atom_site_label
_atom_site_type_symbol
_atom_site_fract_x
_atom_site_fract_y
_atom_site_fract_z
_atom_site_occupancy
Mg1 Mg 0.000 0.000 0.000 1
Ni1 Ni 0.250 0.250 0.750 1
Rh1 Rh 0.000 0.000 0.500 1
Rh2 Rh 0.250 0.250 0.250 1
```

## Properties
- DOS(E_F) (states/eV per atom) = 1.49
- energy of formation from the pure elements (meV per atom) = -48

=====

No. 11
# MgNiRh2

Crystalline MgNiRh2 at its relaxed geometry (PBE, the Alexandria database).

Cell and atoms, written as CIF:
```
data_MgNiRh2
_symmetry_space_group_name_H-M 'P 1 2/m 1'
_symmetry_Int_Tables_number 10
_cell_length_a 2.742
_cell_length_b 4.219
_cell_length_c 5.121
_cell_angle_alpha 90.00
_cell_angle_beta 104.65
_cell_angle_gamma 90.00
loop_
_symmetry_equiv_pos_as_xyz
'x,y,z'
'-x,-y,-z'
'-x,y,-z'
'x,-y,z'
loop_
_atom_site_label
_atom_site_type_symbol
_atom_site_fract_x
_atom_site_fract_y
_atom_site_fract_z
_atom_site_occupancy
Mg1 Mg 0.000 0.000 0.000 1
Ni1 Ni 0.500 0.000 0.500 1
Rh1 Rh 0.351 0.500 0.733 1
```

## Properties
- DOS(E_F) (states/eV per atom) = 1.52
- energy of formation from the pure elements (meV per atom) = -86

=====

No. 12
# Mg2NiRh

Crystalline Mg2NiRh at its relaxed geometry (PBE, the Alexandria database).

Cell and atoms, written as CIF:
```
data_Mg2NiRh
_symmetry_space_group_name_H-M 'P m m m'
_symmetry_Int_Tables_number 47
_cell_length_a 3.108
_cell_length_b 3.124
_cell_length_c 6.064
_cell_angle_alpha 90.00
_cell_angle_beta 90.00
_cell_angle_gamma 90.00
loop_
_symmetry_equiv_pos_as_xyz
'x,y,z'
'-x,-y,-z'
'-x,-y,z'
'x,y,-z'
'x,-y,-z'
'-x,y,z'
'-x,y,-z'
'x,-y,z'
loop_
_atom_site_label
_atom_site_type_symbol
_atom_site_fract_x
_atom_site_fract_y
_atom_site_fract_z
_atom_site_occupancy
Mg1 Mg 0.000 0.000 0.249 1
Ni1 Ni 0.500 0.500 0.000 1
Rh1 Rh 0.500 0.500 0.500 1
```

## Properties
- DOS(E_F) (states/eV per atom) = 0.46
- energy of formation from the pure elements (meV per atom) = -335

=====

- energy of formation from the pure elements of number 4 (MgNi2Rh)?
  -122 meV per atom

=====

- Look up the energy of formation from the pure elements of the eleventh one.
  -86 meV per atom